# ZrTaAg

Crystalline ZrTaAg at its relaxed geometry (PBE, Alexandria via LeMat-Bulk).

Unit cell a=3.435 b=3.435 c=9.931 alpha=90.00 beta=90.00 gamma=90.00
Sites, in units of the cell vectors:
Zr1 0.250 0.250 0.248
Zr2 0.750 0.750 0.752
Ta1 0.250 0.250 0.576
Ta2 0.750 0.750 0.424
Ag1 0.250 0.250 0.923
Ag2 0.750 0.750 0.077

ΔE_f: -0.0451 eV/atom
magnetic moment: 0.00 μB/f.u.

***

# Pm7Si4H

Crystalline Pm7Si4H at its relaxed geometry (PBE, Alexandria via LeMat-Bulk).

Unit cell a=8.082 b=8.082 c=10.602 alpha=126.56 beta=126.56 gamma=35.68
Sites, in units of the cell vectors:
Pm1 0.000 0.000 0.000
Pm2 0.138 0.138 0.555
Pm3 0.290 0.290 0.147
Pm4 0.424 0.424 0.720
Pm5 0.576 0.576 0.280
Pm6 0.710 0.710 0.853
Pm7 0.862 0.862 0.445
Si1 0.079 0.079 0.791
Si2 0.219 0.219 0.345
Si3 0.781 0.781 0.655
Si4 0.921 0.921 0.209
H1 0.500 0.500 0.000

DFT total energy: -5.35 eV/atom
magnetic moment: 0.00 μB/f.u.

***

# LiBr2N

Crystalline LiBr2N at its relaxed geometry (PBE, Alexandria via LeMat-Bulk).

Unit cell a=4.920 b=4.920 c=4.920 alpha=60.00 beta=60.00 gamma=60.00
Sites, in units of the cell vectors:
Li1 0.000 0.000 0.000
Br1 0.250 0.250 0.250
Br2 0.750 0.750 0.750
N1 0.500 0.500 0.500

DFT total energy: -2.59 eV/atom
magnetic moment: 2.03 μB/f.u.

***

# DyTl2AgI6

Crystalline DyTl2AgI6 at its relaxed geometry (PBE, Alexandria via LeMat-Bulk).

Unit cell a=8.063 b=8.622 c=13.969 alpha=90.00 beta=124.55 gamma=90.00
Sites, in units of the cell vectors:
Dy1 0.000 0.000 0.000
Dy2 0.000 0.500 0.500
Tl1 0.291 0.095 0.756
Tl2 0.291 0.405 0.256
Tl3 0.709 0.595 0.744
Tl4 0.709 0.905 0.244
Ag1 0.500 0.000 0.500
Ag2 0.500 0.500 0.000
I1 0.139 0.021 0.253
I2 0.139 0.479 0.753
I3 0.235 0.699 0.053
I4 0.235 0.801 0.553
I5 0.361 0.189 0.053
I6 0.361 0.311 0.553
I7 0.639 0.689 0.447
I8 0.639 0.811 0.947
I9 0.765 0.199 0.447
I10 0.765 0.301 0.947
I11 0.861 0.521 0.247
I12 0.861 0.979 0.747

DFT total energy: -3.00 eV/atom
magnetic moment: 0.00 μB/f.u.

***

Question: The highest magnetic moment belongs to which entry?
Answer: LiBr2N